No. 1
{
  "formula": "YInSe3",
  "functional": "GGA-PBE",
  "state": "optimized geometry",
  "lattice": [[-6.485, -1.411, 6.012], [1.080, -2.890, -8.406], [2.348, -3.856, 1.627]],
  "species": ["In", "In", "Y", "Y", "Se", "Se", "Se", "Se", "Se", "Se"],
  "frac_coords": [[0.444, 0.556, 0.250], [0.556, 0.444, 0.750], [0.818, 0.182, 0.750], [0.182, 0.818, 0.250], [0.923, 0.572, 0.750], [0.572, 0.923, 0.250], [0.000, 0.000, 0.000], [0.428, 0.077, 0.750], [0.000, 0.000, 0.500], [0.077, 0.428, 0.250]],
  "relative_energy_ev_per_atom": 0.305,
  "crystal_system": "orthorhombic",
  "raw_formation_energy_mev_per_atom": -887.4
}



No. 2
{
  "formula": "GeH3CNO",
  "functional": "GGA-PBE",
  "state": "optimized geometry",
  "lattice": [[7.220, 0.000, 0.000], [0.000, 7.379, 0.000], [0.000, 0.000, 8.177]],
  "species": ["H", "H", "H", "H", "H", "H", "H", "H", "H", "H", "H", "H", "Ge", "Ge", "Ge", "Ge", "N", "N", "N", "N", "O", "O", "O", "O", "C", "C", "C", "C"],
  "frac_coords": [[0.643, 0.576, 0.838], [0.357, 0.076, 0.162], [0.105, 0.250, 0.316], [0.895, 0.750, 0.684], [0.605, 0.750, 0.184], [0.395, 0.250, 0.816], [0.357, 0.424, 0.162], [0.143, 0.076, 0.662], [0.143, 0.424, 0.662], [0.643, 0.924, 0.838], [0.857, 0.576, 0.338], [0.857, 0.924, 0.338], [0.303, 0.250, 0.251], [0.197, 0.250, 0.751], [0.697, 0.750, 0.749], [0.803, 0.750, 0.249], [0.943, 0.750, 0.054], [0.557, 0.750, 0.554], [0.057, 0.250, 0.946], [0.443, 0.250, 0.446], [0.754, 0.250, 0.549], [0.246, 0.750, 0.451], [0.746, 0.250, 0.049], [0.254, 0.750, 0.951], [0.602, 0.250, 0.492], [0.398, 0.750, 0.508], [0.102, 0.750, 0.008], [0.898, 0.250, 0.992]],
  "e_tot_ev_per_atom": -5.51,
  "crystal_system": "orthorhombic"
}